Entry 1:
Entry from Alexandria: a relaxed structure of Cd2HgI2 (PBE).

## Properties
The energy above the most stable polymorph in this dataset comes out at 209 meV per atom. For the formation energy (no corrections), the calculation gives -0.061 eV/atom.

a = 7.5144 Å, b = 7.5144 Å, c = 7.5144 Å
α = 133.27°, β = 133.27°, γ = 68.23°
Fractional positions:
Cd  0.2500  0.7500  0.5000
Cd  0.7500  0.2500  0.5000
Hg  0.0000  0.0000  0.0000
I  0.3243  0.3243  0.0000
I  0.6757  0.6757  0.0000

***

Entry 2:
Entry from Alexandria: a relaxed structure of LiV2P (PBE).

## Properties
The formation energy comes out at 0.04 eV per atom.

a = 5.2738 Å, b = 5.2738 Å, c = 5.2738 Å
α = 102.78°, β = 102.78°, γ = 123.88°
Fractional positions:
Li  0.0000  0.0000  0.0000
Li  0.7500  0.2500  0.5000
V  0.1473  0.1250  0.5223
V  0.3750  0.8527  0.9777
V  0.6027  0.6250  0.4777
V  0.8750  0.3973  0.0223
P  0.2500  0.7500  0.5000
P  0.5000  0.5000  0.0000

***

Entry 3:
Entry from Alexandria: a relaxed structure of Zr2Al2Ga (PBE).

## Properties
The formation energy comes out at -0.18 eV per atom. The energy above the most stable polymorph in this dataset comes out at 227 meV per atom.

a = 7.1809 Å, b = 7.1809 Å, c = 4.0603 Å
α = 90.00°, β = 90.00°, γ = 90.00°
Fractional positions:
Zr  0.1601  0.3399  0.0000
Zr  0.3399  0.8399  0.0000
Zr  0.6601  0.1601  0.0000
Zr  0.8399  0.6601  0.0000
Al  0.1395  0.6395  0.5000
Al  0.3605  0.1395  0.5000
Al  0.6395  0.8605  0.5000
Al  0.8605  0.3605  0.5000
Ga  0.0000  0.0000  0.0000
Ga  0.5000  0.5000  0.0000

***

Entry 4:
Entry from Alexandria: a relaxed structure of TaSb4P (PBE).

## Properties
For the formation energy (no corrections), the calculation gives 1.081 eV/atom.

a = 5.9911 Å, b = 5.9911 Å, c = 5.9911 Å
α = 60.00°, β = 60.00°, γ = 60.00°
Fractional positions:
Ta  0.0000  0.0000  0.0000
Sb  0.3750  0.3750  0.3750
Sb  0.3750  0.3750  0.8749
Sb  0.3750  0.8749  0.3750
Sb  0.8749  0.3750  0.3750
P  0.7500  0.7500  0.7500

***

Entry 5:
Entry from Alexandria: a relaxed structure of ScTlGaSe4 (PBE).

## Properties
For the formation energy (no corrections), the calculation gives -0.811 eV/atom.

a = 6.9195 Å, b = 5.9053 Å, c = 9.4377 Å
α = 90.00°, β = 107.60°, γ = 90.00°
Fractional positions:
Sc  0.2461  0.2500  0.4451
Sc  0.7539  0.7500  0.5549
Tl  0.2484  0.2500  0.9486
Tl  0.7516  0.7500  0.0514
Ga  0.2441  0.7500  0.6718
Ga  0.7559  0.2500  0.3282
Se  0.0432  0.7500  0.8339
Se  0.0561  0.7500  0.4139
Se  0.4737  0.5150  0.2987
Se  0.4737  0.9850  0.2987
Se  0.5263  0.0150  0.7013
Se  0.5263  0.4850  0.7013
Se  0.9439  0.2500  0.5861
Se  0.9568  0.2500  0.1661

***

Entry 6:
Entry from Alexandria: a relaxed structure of OsCl2F6 (PBE).

## Properties
For the formation energy (no corrections), the calculation gives -1.334 eV/atom.

a = 5.7141 Å, b = 5.7141 Å, c = 5.7141 Å
α = 88.19°, β = 88.19°, γ = 88.19°
Fractional positions:
Os  0.0000  0.0000  0.0000
Cl  0.4039  0.4039  0.4039
Cl  0.5961  0.5961  0.5961
F  0.0975  0.7146  0.8674
F  0.1326  0.9025  0.2854
F  0.2854  0.1326  0.9025
F  0.7146  0.8674  0.0975
F  0.8674  0.0975  0.7146
F  0.9025  0.2854  0.1326

***

Entry 7:
Entry from Alexandria: a relaxed structure of Ba5Hg (PBE).

## Properties
The formation energy comes out at -0.06 eV per atom. The energy above the most stable polymorph in this dataset comes out at 98 meV per atom.

a = 10.2293 Å, b = 10.2293 Å, c = 10.2293 Å
α = 128.24°, β = 128.24°, γ = 76.24°
Fractional positions:
Ba  0.0000  0.0000  0.0000
Ba  0.0207  0.5207  0.8278
Ba  0.1928  0.0207  0.5000
Ba  0.3072  0.8072  0.8278
Ba  0.4793  0.3072  0.5000
Ba  0.5000  0.5000  0.0000
Ba  0.5207  0.6928  0.5000
Ba  0.6928  0.1928  0.1722
Ba  0.8072  0.9793  0.5000
Ba  0.9793  0.4793  0.1722
Hg  0.2500  0.2500  0.0000
Hg  0.7500  0.7500  0.0000

***

Entry 8:
Entry from Alexandria: a relaxed structure of RbAgHg2I6 (PBE).

## Properties
For the formation energy (no corrections), the calculation gives -0.508 eV/atom.

a = 11.0505 Å, b = 11.0505 Å, c = 9.1135 Å
α = 110.09°, β = 110.09°, γ = 79.59°
Fractional positions:
Rb  0.1715  0.8285  0.7500
Rb  0.8285  0.1715  0.2500
Ag  0.1866  0.8134  0.2500
Ag  0.8134  0.1866  0.7500
Hg  0.2214  0.3672  0.8429
Hg  0.3672  0.2214  0.3429
Hg  0.6328  0.7786  0.6571
Hg  0.7786  0.6328  0.1571
I  0.0505  0.1663  0.6611
I  0.1059  0.6209  0.9470
I  0.1663  0.0505  0.1611
I  0.2910  0.4295  0.5866
I  0.3791  0.8941  0.5530
I  0.4295  0.2910  0.0866
I  0.5705  0.7090  0.9134
I  0.6209  0.1059  0.4470
I  0.7090  0.5705  0.4134
I  0.8337  0.9495  0.8389
I  0.8941  0.3791  0.0530
I  0.9495  0.8337  0.3389

***

Entry 9:
Entry from Alexandria: a relaxed structure of DyThHg4 (PBE).

## Properties
The formation energy comes out at -0.13 eV per atom. The energy above the most stable polymorph in this dataset comes out at 187 meV per atom.

a = 5.9837 Å, b = 5.9837 Å, c = 5.9837 Å
α = 60.00°, β = 60.00°, γ = 60.00°
Fractional positions:
Dy  0.0000  0.0000  0.0000
Th  0.2500  0.2500  0.2500
Hg  0.1246  0.6251  0.6251
Hg  0.6251  0.1246  0.6251
Hg  0.6251  0.6251  0.1246
Hg  0.6251  0.6251  0.6251

***

Entry 10:
Entry from Alexandria: a relaxed structure of LaAg2As (PBE).

## Properties
The formation energy comes out at -0.44 eV per atom.

a = 5.8285 Å, b = 5.8285 Å, c = 5.8285 Å
α = 136.39°, β = 136.39°, γ = 63.37°
Fractional positions:
La  0.0000  0.0000  0.0000
Ag  0.2500  0.7500  0.5000
Ag  0.7500  0.2500  0.5000
As  0.5000  0.5000  0.0000

***

Entry 11:
Entry from Alexandria: a relaxed structure of Cs3MoP (PBE).

## Properties
The formation energy comes out at 1.00 eV per atom. The energy above the most stable polymorph in this dataset comes out at 0 meV per atom.

a = 6.8856 Å, b = 6.8856 Å, c = 6.8856 Å
α = 90.00°, β = 90.00°, γ = 90.00°
Fractional positions:
Cs  0.0000  0.0000  0.5000
Cs  0.0000  0.5000  0.0000
Cs  0.5000  0.0000  0.0000
Mo  0.5000  0.5000  0.5000
P  0.0000  0.0000  0.0000

***

Entry 12:
Entry from Alexandria: a relaxed structure of TbGdMgPd (PBE).

## Properties
The formation energy comes out at -0.39 eV per atom.

a = 5.1684 Å, b = 5.1684 Å, c = 5.1684 Å
α = 60.00°, β = 60.00°, γ = 60.00°
Fractional positions:
Tb  0.0000  0.0000  0.0000
Gd  0.5000  0.5000  0.5000
Mg  0.2500  0.2500  0.2500
Pd  0.7500  0.7500  0.7500

***

Entry 13:
Entry from Alexandria: a relaxed structure of La6Nd4Dy (PBE).

## Properties
The formation energy comes out at 0.09 eV per atom.

a = 5.8060 Å, b = 5.8060 Å, c = 26.3449 Å
α = 90.00°, β = 90.00°, γ = 117.22°
Fractional positions:
La  0.0000  0.0000  0.0000
La  0.0000  0.0000  0.5000
La  0.0600  0.9400  0.7500
La  0.2933  0.7067  0.1037
La  0.2933  0.7067  0.3963
La  0.3852  0.6148  0.6839
La  0.3852  0.6148  0.8161
La  0.6148  0.3852  0.1839
La  0.6148  0.3852  0.3161
La  0.7067  0.2933  0.6037
La  0.7067  0.2933  0.8963
La  0.9400  0.0600  0.2500
Nd  0.0549  0.9451  0.6243
Nd  0.0549  0.9451  0.8757
Nd  0.3525  0.6475  0.5448
Nd  0.3525  0.6475  0.9552
Nd  0.6475  0.3525  0.0448
Nd  0.6475  0.3525  0.4552
Nd  0.9451  0.0549  0.1243
Nd  0.9451  0.0549  0.3757
Dy  0.2815  0.7185  0.2500
Dy  0.7185  0.2815  0.7500

***

Entry 14:
Entry from Alexandria: a relaxed structure of KVCo2Pt (PBE).

## Properties
The formation energy comes out at 0.86 eV per atom.

a = 4.4386 Å, b = 4.4386 Å, c = 4.8311 Å
α = 90.00°, β = 90.00°, γ = 90.00°
Fractional positions:
K  0.0000  0.0000  0.0000
V  0.5000  0.5000  0.5000
Co  0.0000  0.5000  0.5000
Co  0.5000  0.0000  0.5000
Pt  0.5000  0.5000  0.0000

***

Entry 15:
Entry from Alexandria: a relaxed structure of CaMnSi2Os (PBE).

## Properties
For the formation energy (no corrections), the calculation gives -0.503 eV/atom.

a = 5.9144 Å, b = 5.9144 Å, c = 5.9144 Å
α = 140.30°, β = 140.30°, γ = 57.39°
Fractional positions:
Ca  0.0000  0.0000  0.0000
Mn  0.2500  0.7500  0.5000
Si  0.3774  0.3774  0.0000
Si  0.6226  0.6226  0.0000
Os  0.7500  0.2500  0.5000

***

Entry 16:
Entry from Alexandria: a relaxed structure of Nb2Ni2Ru (PBE).

## Properties
The formation energy comes out at 0.16 eV per atom. The energy above the most stable polymorph in this dataset comes out at 350 meV per atom.

a = 3.7180 Å, b = 3.7180 Å, c = 5.8830 Å
α = 90.00°, β = 90.00°, γ = 107.85°
Fractional positions:
Nb  0.0000  0.0000  0.2411
Nb  0.0000  0.0000  0.7589
Ni  0.3168  0.6832  0.5000
Ni  0.6832  0.3168  0.5000
Ru  0.5000  0.5000  0.0000

***

Entry 17:
Entry from Alexandria: a relaxed structure of CaNd3Tm2Se6 (PBE).

## Properties
For the formation energy (no corrections), the calculation gives -1.808 eV/atom.

a = 7.0871 Å, b = 7.0871 Å, c = 7.3638 Å
α = 99.19°, β = 99.19°, γ = 120.02°
Fractional positions:
Ca  0.0000  0.0000  0.0000
Nd  0.1628  0.8372  0.5000
Nd  0.5000  0.5000  0.5000
Nd  0.8372  0.1628  0.5000
Tm  0.3330  0.6670  0.0000
Tm  0.6670  0.3330  0.0000
Se  0.0778  0.4165  0.2341
Se  0.2618  0.2618  0.7711
Se  0.4165  0.0778  0.2341
Se  0.5835  0.9222  0.7659
Se  0.7382  0.7382  0.2289
Se  0.9222  0.5835  0.7659

***

Entry 18:
Entry from Alexandria: a relaxed structure of Nd6BiSb3P2 (PBE).

## Properties
For the formation energy (no corrections), the calculation gives -1.225 eV/atom.

a = 9.8742 Å, b = 9.8742 Å, c = 8.8778 Å
α = 102.95°, β = 102.95°, γ = 25.77°
Fractional positions:
Nd  0.0094  0.0094  0.2595
Nd  0.3275  0.3275  0.4285
Nd  0.3285  0.3285  0.8976
Nd  0.6715  0.6715  0.1024
Nd  0.6725  0.6725  0.5715
Nd  0.9906  0.9906  0.7405
Bi  0.5000  0.5000  0.0000
Sb  0.1625  0.1625  0.8314
Sb  0.5000  0.5000  0.5000
Sb  0.8375  0.8375  0.1686
P  0.1693  0.1693  0.3368
P  0.8307  0.8307  0.6632

***

Entry 19:
Entry from Alexandria: a relaxed structure of TaMnAlRh (PBE).

## Properties
The formation energy comes out at -0.55 eV per atom.

a = 4.3104 Å, b = 4.3104 Å, c = 4.3104 Å
α = 60.00°, β = 60.00°, γ = 60.00°
Fractional positions:
Ta  0.0000  0.0000  0.0000
Mn  0.2500  0.2500  0.2500
Al  0.5000  0.5000  0.5000
Rh  0.7500  0.7500  0.7500

***

Entry 20:
Entry from Alexandria: a relaxed structure of Rb2Sn3Hg5 (PBE).

## Properties
The formation energy comes out at -0.16 eV per atom. The energy above the most stable polymorph in this dataset comes out at 0 meV per atom.

a = 5.1507 Å, b = 5.1507 Å, c = 12.4884 Å
α = 90.00°, β = 90.00°, γ = 90.00°
Fractional positions:
Rb  0.0000  0.5000  0.2463
Rb  0.5000  0.0000  0.7537
Sn  0.0000  0.5000  0.6295
Sn  0.5000  0.0000  0.3705
Sn  0.5000  0.5000  0.5000
Hg  0.0000  0.0000  0.0000
Hg  0.0000  0.0000  0.5000
Hg  0.0000  0.5000  0.8673
Hg  0.5000  0.0000  0.1327
Hg  0.5000  0.5000  0.0000

***

Entry 21:
Entry from Alexandria: a relaxed structure of TcAsO4 (PBE).

## Properties
For the formation energy (no corrections), the calculation gives -0.950 eV/atom.

a = 5.7629 Å, b = 5.7629 Å, c = 9.9592 Å
α = 90.00°, β = 90.00°, γ = 90.00°
Fractional positions:
Tc  0.0000  0.0000  0.0000
Tc  0.0000  0.0000  0.5000
As  0.0000  0.5000  0.2500
As  0.5000  0.0000  0.7500
O  0.0013  0.2548  0.3971
O  0.0013  0.7452  0.1029
O  0.2548  0.0013  0.8971
O  0.2548  0.9987  0.6029
O  0.7452  0.0013  0.6029
O  0.7452  0.9987  0.8971
O  0.9987  0.2548  0.1029
O  0.9987  0.7452  0.3971

***

Entry 22:
Entry from Alexandria: a relaxed structure of LiTaS2 (PBE).

## Properties
For the formation energy (no corrections), the calculation gives -1.278 eV/atom.

a = 3.3585 Å, b = 3.3585 Å, c = 12.9728 Å
α = 90.00°, β = 90.00°, γ = 120.00°
Fractional positions:
Li  0.0000  0.0000  0.0000
Li  0.0000  0.0000  0.5000
Ta  0.0000  0.0000  0.2500
Ta  0.0000  0.0000  0.7500
S  0.3333  0.6667  0.1283
S  0.3333  0.6667  0.3717
S  0.6667  0.3333  0.6283
S  0.6667  0.3333  0.8717

***

Entry 23:
Entry from Alexandria: a relaxed structure of ZnHg2O (PBE).

## Properties
The energy above the most stable polymorph in this dataset comes out at 315 meV per atom. For the formation energy (no corrections), the calculation gives 0.306 eV/atom.

a = 4.6402 Å, b = 4.6402 Å, c = 4.6402 Å
α = 60.00°, β = 60.00°, γ = 60.00°
Fractional positions:
Zn  0.0000  0.0000  0.0000
Hg  0.2500  0.2500  0.2500
Hg  0.7500  0.7500  0.7500
O  0.5000  0.5000  0.5000

***

Entry 24:
Entry from Alexandria: a relaxed structure of Tl2Cd4Pt (PBE).

## Properties
The formation energy comes out at 0.05 eV per atom.

a = 8.4994 Å, b = 8.4994 Å, c = 8.4994 Å
α = 143.85°, β = 143.85°, γ = 52.05°
Fractional positions:
Tl  0.1307  0.1307  0.0000
Tl  0.8693  0.8693  0.0000
Cd  0.0000  0.5000  0.5000
Cd  0.3259  0.3259  0.0000
Cd  0.5000  0.0000  0.5000
Cd  0.6741  0.6741  0.0000
Pt  0.5000  0.5000  0.0000